Record 1
## TlTcBi2Au (meta-GGA SCAN)

Data for TlTcBi2Au at its PBEsol-relaxed geometry.

Unit cell a=5.164 b=5.164 c=5.253 alpha=90.00 beta=90.00 gamma=90.00
Space group P4/mmm (No. 123)
Inequivalent atoms, fractional coordinates:
Tl: 0.000 0.000 0.000
Tc: 0.000 0.000 0.500
Bi: 0.000 0.500 0.500
Au: 0.500 0.500 0.000

Calculated values
The value obtained for the total magnetic moment is 0.00 μB per formula unit. Its formation energy from the elements is 519 meV per atom.



Record 2
## LiPb2Se (meta-GGA SCAN)

Data for LiPb2Se at its PBEsol-relaxed geometry.

Unit cell a=7.355 b=7.355 c=7.355 alpha=90.00 beta=90.00 gamma=90.00
Space group F-43m (No. 216)
Inequivalent atoms, fractional coordinates:
Li: 0.000 0.000 0.000
Pb: 0.000 0.000 0.500
Pb: 0.250 0.250 0.250
Se: 0.250 0.250 0.750

Calculated values
The value obtained for the total magnetic moment is 0.00 μB per formula unit. Its formation energy without anion corrections is -0.169 eV/atom.



Record 3
## CaMg2Si (meta-GGA SCAN)

Data for CaMg2Si at its PBEsol-relaxed geometry.

Unit cell a=4.389 b=4.389 c=9.222 alpha=90.00 beta=90.00 gamma=90.00
Space group I4/mmm (No. 139)
Inequivalent atoms, fractional coordinates:
Ca: 0.000 0.000 0.000
Mg: 0.000 0.500 0.250
Si: 0.000 0.000 0.500

Calculated values
The value obtained for the total magnetic moment is 0.00 μB per formula unit. Its formation energy without anion corrections is -0.024 eV/atom.



Record 4
## CuOs2Cl (meta-GGA SCAN)

Data for CuOs2Cl at its PBEsol-relaxed geometry.

Unit cell a=2.755 b=4.236 c=5.007 alpha=90.00 beta=98.76 gamma=90.00
Space group P2/m (No. 10)
Inequivalent atoms, fractional coordinates:
Cu: 0.000 0.000 0.000
Os: 0.339 0.500 0.223
Cl: 0.500 0.000 0.500

Calculated values
The value obtained for the total magnetic moment is 0.00 μB per formula unit. The excess energy over the best structure of this formula in the dataset comes out at 0 meV/atom. Its formation energy without anion corrections is 1.049 eV/atom.



Record 5
## Y3AlNi (meta-GGA SCAN)

Data for Y3AlNi at its PBEsol-relaxed geometry.

Unit cell a=11.215 b=3.755 c=11.136 alpha=90.00 beta=90.00 gamma=90.00
Space group Pnma (No. 62)
Inequivalent atoms, fractional coordinates:
Y: 0.037 0.250 0.119
Y: 0.078 0.750 0.381
Y: 0.187 0.750 0.697
Al: 0.231 0.750 0.990
Ni: 0.144 0.250 0.882

Calculated values
The value obtained for the total magnetic moment is 0.12 μB per formula unit. Its formation energy from the elements is -344 meV per atom.



Record 6
## SbSe4 (meta-GGA SCAN)

Data for SbSe4 at its PBEsol-relaxed geometry.

Unit cell a=8.825 b=8.825 c=3.483 alpha=90.00 beta=90.00 gamma=90.00
Space group I4/m (No. 87)
Inequivalent atoms, fractional coordinates:
Sb: 0.000 0.000 0.000
Se: 0.145 0.773 0.500

Calculated values
The value obtained for the total magnetic moment is 0.00 μB per formula unit. Its formation energy without anion corrections is 0.249 eV/atom.



Record 7
## RuPt (meta-GGA SCAN)

Data for RuPt at its PBEsol-relaxed geometry.

Unit cell a=2.7196 b=2.7196 c=8.8592 alpha=90.00 beta=90.00 gamma=120.00
Space group P-3m1 (No. 164)
Inequivalent atoms, fractional coordinates:
Ru: 0.3333 0.6667 0.3866
Pt: 0.3333 0.6667 0.8653

Calculated values
The value obtained for the total magnetic moment is 0.00 μB per formula unit. Its formation energy from the elements is 19 meV per atom.



Record 8
## CoOs (meta-GGA SCAN)

Data for CoOs at its PBEsol-relaxed geometry.

Unit cell a=4.526 b=4.121 c=5.150 alpha=90.00 beta=90.00 gamma=90.00
Space group Pnma (No. 62)
Inequivalent atoms, fractional coordinates:
Co: 0.084 0.250 0.121
Os: 0.086 0.250 0.626

Calculated values
The value obtained for the total magnetic moment is 1.04 μB per formula unit. Its formation energy from the elements is 143 meV per atom.



Record 9
## K2CuSb (meta-GGA SCAN)

Data for K2CuSb at its PBEsol-relaxed geometry.

Unit cell a=10.462 b=7.842 c=6.118 alpha=90.00 beta=90.00 gamma=90.00
Space group Cmcm (No. 63)
Inequivalent atoms, fractional coordinates:
K: 0.169 0.156 0.250
Cu: 0.000 0.500 0.000
Sb: 0.000 0.250 0.750

Calculated values
The value obtained for the total magnetic moment is 0.00 μB per formula unit. Its formation energy without anion corrections is -0.373 eV/atom.



Record 10
## Mg2InAu (meta-GGA SCAN)

Data for Mg2InAu at its PBEsol-relaxed geometry.

Unit cell a=3.321 b=3.321 c=7.176 alpha=90.00 beta=90.00 gamma=90.00
Space group P4/mmm (No. 123)
Inequivalent atoms, fractional coordinates:
Mg: 0.000 0.000 0.216
In: 0.500 0.500 0.500
Au: 0.500 0.500 0.000

Calculated values
The value obtained for the total magnetic moment is 0.00 μB per formula unit. Its formation energy from the elements is -488 meV per atom.



Record 11
## Fe2NiAu (meta-GGA SCAN)

Data for Fe2NiAu at its PBEsol-relaxed geometry.

Unit cell a=3.731 b=3.731 c=7.175 alpha=90.00 beta=90.00 gamma=90.00
Space group I-4m2 (No. 119)
Inequivalent atoms, fractional coordinates:
Fe: 0.000 0.000 0.000
Fe: 0.000 0.500 0.250
Ni: 0.000 0.500 0.750
Au: 0.000 0.000 0.500

Calculated values
The value obtained for the total magnetic moment is 6.64 μB per formula unit. The excess energy over the best structure of this formula in the dataset comes out at 91 meV/atom. Its formation energy from the elements is -34 meV per atom.



Record 12
## ScBr2F (meta-GGA SCAN)

Data for ScBr2F at its PBEsol-relaxed geometry.

Unit cell a=3.7173 b=3.7173 c=23.4049 alpha=90.00 beta=90.00 gamma=120.00
Space group R-3m (No. 166, hexagonal axes)
Inequivalent atoms, fractional coordinates:
Sc: 0.0000 0.0000 0.0000
Br: 0.0000 0.0000 0.4011
F: 0.0000 0.0000 0.5000

Calculated values
The value obtained for the total magnetic moment is 0.00 μB per formula unit. Its formation energy without anion corrections is -1.504 eV/atom.



Record 13
## LaMn2Pb (meta-GGA SCAN)

Data for LaMn2Pb at its PBEsol-relaxed geometry.

Unit cell a=3.239 b=3.239 c=7.807 alpha=90.00 beta=90.00 gamma=90.00
Space group P4mm (No. 99)
Inequivalent atoms, fractional coordinates:
La: 0.000 0.000 0.000
Mn: 0.000 0.000 0.588
Mn: 0.500 0.500 0.724
Pb: 0.500 0.500 0.344

Calculated values
The value obtained for the total magnetic moment is 0.96 μB per formula unit. Its formation energy from the elements is -145 meV per atom.



Record 14
## Tm2AlZn (meta-GGA SCAN)

Data for Tm2AlZn at its PBEsol-relaxed geometry.

Unit cell a=6.977 b=6.977 c=6.977 alpha=90.00 beta=90.00 gamma=90.00
Space group Fm-3m (No. 225)
Inequivalent atoms, fractional coordinates:
Tm: 0.250 0.250 0.250
Al: 0.000 0.000 0.000
Zn: 0.000 0.000 0.500

Calculated values
The value obtained for the total magnetic moment is 0.00 μB per formula unit. Its formation energy from the elements is -416 meV per atom.



Record 15
## MnZn2Co (meta-GGA SCAN)

Data for MnZn2Co at its PBEsol-relaxed geometry.

Unit cell a=3.615 b=3.615 c=3.730 alpha=90.00 beta=90.00 gamma=90.00
Space group P4/mmm (No. 123)
Inequivalent atoms, fractional coordinates:
Mn: 0.000 0.000 0.000
Zn: 0.000 0.500 0.500
Co: 0.500 0.500 0.000

Calculated values
The value obtained for the total magnetic moment is 4.99 μB per formula unit. The excess energy over the best structure of this formula in the dataset comes out at 37 meV/atom. Its formation energy from the elements is -147 meV per atom.



Record 16
## TcHOs2Rh (meta-GGA SCAN)

Data for TcHOs2Rh at its PBEsol-relaxed geometry.

Unit cell a=3.875 b=3.875 c=3.822 alpha=90.00 beta=90.00 gamma=90.00
Space group P4/mmm (No. 123)
Inequivalent atoms, fractional coordinates:
Tc: 0.000 0.000 0.000
H: 0.500 0.500 0.500
Os: 0.000 0.500 0.500
Rh: 0.500 0.500 0.000

Calculated values
The value obtained for the total magnetic moment is 0.00 μB per formula unit. The uncorrected energy is -3.1643 Ry per atom.



Record 17
## CaZr2CdB (meta-GGA SCAN)

Data for CaZr2CdB at its PBEsol-relaxed geometry.

Unit cell a=4.930 b=4.930 c=5.065 alpha=90.00 beta=90.00 gamma=90.00
Space group P4/mmm (No. 123)
Inequivalent atoms, fractional coordinates:
Ca: 0.000 0.000 0.000
Zr: 0.000 0.500 0.000
Cd: 0.000 0.000 0.500
B: 0.500 0.500 0.500

Calculated values
The value obtained for the total magnetic moment is 0.00 μB per formula unit. Its formation energy from the elements is 2392 meV per atom.



Record 18
## AlCu2 (meta-GGA SCAN)

Data for AlCu2 at its PBEsol-relaxed geometry.

Unit cell a=9.326 b=2.763 c=6.056 alpha=90.00 beta=108.28 gamma=90.00
Space group C2/m (No. 12)
Inequivalent atoms, fractional coordinates:
Al: 0.177 0.000 0.137
Cu: 0.032 0.500 0.790
Cu: 0.144 0.000 0.537

Calculated values
The value obtained for the total magnetic moment is 0.00 μB per formula unit. Its formation energy from the elements is -228 meV per atom.



Record 19
## LiPdW3 (meta-GGA SCAN)

Data for LiPdW3 at its PBEsol-relaxed geometry.

Unit cell a=4.716 b=4.716 c=4.716 alpha=90.00 beta=90.00 gamma=90.00
Space group Pm-3m (No. 221)
Inequivalent atoms, fractional coordinates:
Li: 0.000 0.000 0.000
Pd: 0.500 0.500 0.500
W: 0.000 0.500 0.500

Calculated values
The value obtained for the total magnetic moment is 0.00 μB per formula unit. Its formation energy from the elements is 2493 meV per atom.



Record 20
## Ru3OF (meta-GGA SCAN)

Data for Ru3OF at its PBEsol-relaxed geometry.

Unit cell a=4.081 b=4.081 c=4.081 alpha=90.00 beta=90.00 gamma=90.00
Space group Pm-3m (No. 221)
Inequivalent atoms, fractional coordinates:
Ru: 0.000 0.000 0.500
O: 0.500 0.500 0.500
F: 0.000 0.000 0.000

Calculated values
The value obtained for the total magnetic moment is 7.65 μB per formula unit. Its formation energy without anion corrections is 1.508 eV/atom.